[1]
First-principles (PBE-GGA) data for an optimized crystal structure of ZrCrP, as listed in Alexandria.

Cell lengths 6.7771, 5.1207, 5.1871 Å; angles 90.00, 90.99, 90.00 degrees
Fractional positions:
1 Zr 0.3491 0.0000 0.2459
2 Zr 0.6509 0.0000 0.7541
3 Zr 0.3491 0.5000 0.7459
4 Zr 0.6509 0.5000 0.2541
5 Cr 0.0000 0.2200 0.0000
6 Cr 0.0000 0.7800 0.0000
7 Cr 0.0000 0.7200 0.5000
8 Cr 0.0000 0.2799 0.5000
9 P 0.2348 0.0000 0.7364
10 P 0.7652 0.0000 0.2636
11 P 0.2348 0.5000 0.2364
12 P 0.7652 0.5000 0.7636

Results
ΔE_f, meV per atom: -912
Calculated volume, Å³/atom: 14.999
Density, Mg/m³: 6.43
Total magnetic moment, μB per formula unit: 0.0

***

[2]
First-principles (PBE-GGA) data for an optimized crystal structure of ZrCr2P, as listed in Alexandria.

Cell lengths 3.1965, 3.1982, 5.5920 Å; angles 90.00, 90.00, 90.00 degrees
Fractional positions:
1 Cr 0.0000 0.0000 0.0490
2 Cr 0.0000 0.0000 0.4510
3 P 0.5000 0.5000 0.2500
4 Zr 0.5000 0.5000 0.7500

Results
ΔE_f, meV per atom: -144
Calculated volume, Å³/atom: 14.292
Density, Mg/m³: 6.57
Total magnetic moment, μB per formula unit: 0.0